The following is a DFT calculation (PBE) of K3Na3CdH8 after structural relaxation.

Results
Calculated total energy (eV for the cell shown): -36.6

abc: 6.9814 6.9853 7.3465
angles: 118.40 90.00 119.98
Sites, in units of the cell vectors:
H  0.2264  0.0173  0.3085
K  0.0000  0.5000  0.0000
H  0.7909  0.0173  0.3085
H  0.7912  0.5824  0.3086
H  0.7736  0.9827  0.6915
Na  0.5000  0.5000  0.5000
Na  0.0000  0.5000  0.5000
H  0.2091  0.9827  0.6915
Na  0.5000  0.0000  0.5000
K  0.5000  0.5000  0.0000
H  0.2630  0.5260  0.2893
H  0.2088  0.4176  0.6914
K  0.0000  0.0000  0.0000
Cd  0.0000  0.0000  0.5000
H  0.7370  0.4740  0.7107